Sr4LiMn2Ga2O11 | PBE+U | relaxed

abc: 5.747 5.768 9.707
angles: 107.13 106.41 92.26
Sites, in units of the cell vectors:
Sr 0.812 0.286 0.826
Sr 0.306 0.823 0.759
Sr 0.013 0.588 0.327
Sr 0.586 0.039 0.199
Li 0.641 0.048 0.504
Mn 0.139 0.201 0.549
Mn 0.670 0.619 0.563
Ga 0.391 0.417 0.046
Ga 0.005 0.865 0.002
O 0.171 0.128 0.970
O 0.309 0.485 0.539
O 0.390 0.494 0.251
O 0.979 0.911 0.189
O 0.581 0.712 0.346
O 0.952 0.951 0.593
O 0.437 0.083 0.628
O 0.821 0.309 0.465
O 0.763 0.724 0.816
O 0.264 0.656 0.970
O 0.689 0.316 0.052

## Properties
- energy relative to the lowest polymorph listed for this composition (meV per atom) = 36
- calculated volume (Å³/cell) = 292.4